(1)
MgNbCl | PBE-GGA | optimized geometry

Output
magnetization	0.00	Bohr magnetons per cell
energy	-4.864	eV per atom
ΔE to the lowest computed polymorph	253	meV per atom
ΔE_f (raw)	-361	meV per atom

abc: 7.0518 3.2020 5.5867
angles: 90.00 105.49 90.00
Positions (direct):
Mg: 0.5617 0.0000 0.2613
Mg: 0.5617 0.5000 0.7613
Nb: 0.8926 0.0000 0.7050
Nb: 0.8926 0.5000 0.2050
Cl: 0.1465 0.0000 0.1224
Cl: 0.1465 0.5000 0.6224

---

(2)
Fe2CoW | PBE-GGA | optimized geometry

Output
magnetization	5.95	Bohr magnetons per cell
energy	-8.990	eV per atom
ΔE to the lowest computed polymorph	234	meV per atom

abc: 8.6420 8.6420 8.6420
angles: 17.60 17.60 17.60
Each line ends with the local moment (μB).
Positions (direct):
Co: 0.7500 0.7500 0.7500  1.58
Fe: 0.0059 0.0059 0.0059  2.31
Fe: 0.4941 0.4941 0.4941  2.31
W: 0.2500 0.2500 0.2500  -0.15

---

(3)
SbPbBrO2 | PBE-GGA | optimized geometry

Output
magnetization	0.00	Bohr magnetons per cell
energy	-5.055	eV per atom
ΔE_f (raw)	-1171	meV per atom

abc: 7.2140 7.2140 7.2140
angles: 148.45 148.45 45.22
Positions (direct):
Sb: 0.3254 0.3254 0.0000
Pb: 0.6395 0.6395 0.0000
Br: 0.0025 0.0025 0.0000
O: 0.7542 0.2542 0.5000
O: 0.2542 0.7542 0.5000

---

(4)
Rb4Sm3GaO8 | PBE-GGA | optimized geometry

Output
magnetization	0.06	Bohr magnetons per cell
energy	-6.059	eV per atom
ΔE_f (raw)	-2264	meV per atom

abc: 6.9397 7.6984 7.1105
angles: 116.89 119.21 90.00
Positions (direct):
Rb: 0.5000 0.0000 0.0000
Rb: 0.5000 0.0000 0.5000
Rb: 0.0000 0.0000 0.0000
Rb: 0.0000 0.0000 0.5000
Sm: 0.5000 0.5000 0.0000
Sm: 0.5000 0.5000 0.5000
Sm: 0.0000 0.5000 0.5000
Ga: 0.0000 0.5000 0.0000
O: 0.1964 0.6626 0.9557
O: 0.2479 0.7014 0.4958
O: 0.2785 0.3206 0.5569
O: 0.7593 0.6626 0.9557
O: 0.2407 0.3374 0.0443
O: 0.7215 0.6794 0.4431
O: 0.7521 0.2986 0.5042
O: 0.8036 0.3374 0.0443

---

(5)
Na6Tl2Pb | PBE-GGA | optimized geometry

Output
magnetization	0.00	Bohr magnetons per cell
energy	-1.939	eV per atom
ΔE to the lowest computed polymorph	0	meV per atom

abc: 5.4654 5.4654 10.0442
angles: 89.90 89.90 60.09
Positions (direct):
Na: 0.0003 0.0003 0.8351
Na: 0.3329 0.3329 0.2799
Na: 0.6671 0.6671 0.7201
Na: 0.3336 0.3336 0.6057
Na: 0.6664 0.6664 0.3943
Na: 0.9997 0.9997 0.1649
Tl: 0.3336 0.3336 0.9448
Tl: 0.6664 0.6664 0.0552
Pb: 0.0000 0.0000 0.5000

---

(6)
PuNpGeRh | PBE-GGA | optimized geometry

Output
magnetization	10.01	Bohr magnetons per cell
energy	-10.061	eV per atom

abc: 4.8048 4.8048 4.8048
angles: 60.00 60.00 60.00
Each line ends with the local moment (μB).
Positions (direct):
Np: 0.7500 0.7500 0.7500  4.30
Ge: 0.0000 0.0000 0.0000  0.01
Rh: 0.2500 0.2500 0.2500  -0.12
Pu: 0.5000 0.5000 0.5000  5.42

---

(7)
Li5Ge3Pd | PBE-GGA | optimized geometry

Output
magnetization	0.00	Bohr magnetons per cell
energy	-3.347	eV per atom

abc: 7.9248 7.9248 6.8990
angles: 72.08 72.08 71.08
Positions (direct):
Li: 0.0190 0.4409 0.3238
Li: 0.2647 0.7353 0.0000
Li: 0.7766 0.7766 0.0508
Li: 0.5407 0.5407 0.2837
Li: 0.4593 0.4593 0.7163
Li: 0.2234 0.2234 0.9492
Li: 0.4409 0.0190 0.3238
Li: 0.7353 0.2647 0.0000
Li: 0.9810 0.5591 0.6762
Li: 0.5591 0.9810 0.6762
Ge: 0.6183 0.6183 0.8880
Ge: 0.6654 0.6654 0.5005
Ge: 0.0000 0.0000 0.0000
Ge: 0.0000 0.0000 0.5000
Ge: 0.3817 0.3817 0.1120
Ge: 0.3346 0.3346 0.4995
Pd: 0.1328 0.1328 0.6531
Pd: 0.8672 0.8672 0.3469

---

(8)
AgPb3S | PBE-GGA | optimized geometry

Output
magnetization	0.00	Bohr magnetons per cell
energy	-3.326	eV per atom
ΔE to the lowest computed polymorph	0	meV per atom
ΔE_f (raw)	295	meV per atom

abc: 5.5116 5.5116 5.5116
angles: 90.00 90.00 90.00
Positions (direct):
Pb: 0.0000 0.5000 0.0000
Pb: 0.0000 0.0000 0.5000
Pb: 0.5000 0.0000 0.0000
S: 0.0000 0.0000 0.0000
Ag: 0.5000 0.5000 0.5000

---

(9)
HgBOs3 | PBE-GGA | optimized geometry

Output
magnetization	1.21	Bohr magnetons per cell
energy	-7.435	eV per atom
ΔE to the lowest computed polymorph	0	meV per atom

abc: 4.1737 4.1737 4.1737
angles: 90.00 90.00 90.00
Each line ends with the local moment (μB).
Positions (direct):
B: 0.0000 0.0000 0.0000  -0.02
Os: 0.0000 0.5000 0.0000  0.43
Os: 0.0000 0.0000 0.5000  0.22
Os: 0.5000 0.0000 0.0000  0.52
Hg: 0.5000 0.5000 0.5000  0.02

---

(10)
Mn3Sn5Se12 | PBE-GGA | optimized geometry

Output
magnetization	56.96	Bohr magnetons per cell
energy	-4.649	eV per atom
ΔE_f (raw)	-183	meV per atom

abc: 14.1604 14.1604 14.1604
angles: 109.47 109.47 109.47
Each line ends with the local moment (μB).
Positions (direct):
Mn: 0.7500 0.3750 0.1250  4.34
Mn: 0.8750 0.7500 0.1250  4.34
Mn: 0.3750 0.7500 0.6250  4.34
Mn: 0.2500 0.1250 0.3750  4.34
Mn: 0.8750 0.1250 0.2500  4.34
Mn: 0.3750 0.6250 0.2500  4.34
Mn: 0.6250 0.3750 0.7500  4.34
Mn: 0.1250 0.8750 0.7500  4.34
Mn: 0.7500 0.8750 0.6250  4.34
Mn: 0.6250 0.2500 0.3750  4.34
Mn: 0.1250 0.2500 0.8750  4.34
Mn: 0.2500 0.6250 0.8750  4.34
Sn: 0.1250 0.3750 0.2500  0.00
Sn: 0.0000 0.5000 0.0000  -0.02
Sn: 0.0000 0.0000 0.0000  -0.02
Sn: 0.3750 0.2500 0.1250  0.00
Sn: 0.5000 0.0000 0.5000  -0.02
Sn: 0.5000 0.5000 0.0000  -0.02
Sn: 0.1250 0.7500 0.3750  0.00
Sn: 0.7500 0.1250 0.8750  0.00
Sn: 0.7500 0.6250 0.3750  0.00
Sn: 0.3750 0.1250 0.7500  0.00
Sn: 0.6250 0.8750 0.2500  0.00
Sn: 0.5000 0.5000 0.5000  -0.02
Sn: 0.5000 0.0000 0.0000  -0.02
Sn: 0.0000 0.0000 0.5000  -0.02
Sn: 0.2500 0.3750 0.6250  0.00
Sn: 0.2500 0.8750 0.1250  0.00
Sn: 0.0000 0.5000 0.5000  -0.02
Sn: 0.8750 0.2500 0.6250  0.00
Sn: 0.6250 0.7500 0.8750  0.00
Sn: 0.8750 0.6250 0.7500  0.00
Se: 0.7257 0.1379 0.0514  0.02
Se: 0.3257 0.5514 0.4135  0.02
Se: 0.9486 0.3621 0.2743  0.02
Se: 0.5514 0.2257 0.1379  0.02
Se: 0.5878 0.7257 0.6743  0.02
Se: 0.9486 0.5865 0.1743  0.02
Se: 0.3257 0.7743 0.4122  0.02
Se: 0.0865 0.9122 0.1379  0.02
Se: 0.5865 0.9486 0.6743  0.02
Se: 0.7257 0.5878 0.1743  0.02
Se: 0.7743 0.4486 0.3621  0.02
Se: 0.8257 0.9135 0.0514  0.02
Se: 0.1379 0.7257 0.5514  0.02
Se: 0.3621 0.4135 0.0878  0.02
Se: 0.0878 0.9135 0.3621  0.02
Se: 0.4122 0.1379 0.5865  0.02
Se: 0.0878 0.1743 0.2257  0.02
Se: 0.4486 0.6743 0.0865  0.02
Se: 0.8257 0.9122 0.2743  0.02
Se: 0.1379 0.4122 0.0865  0.02
Se: 0.3621 0.9486 0.7743  0.02
Se: 0.5865 0.6379 0.4122  0.02
Se: 0.9135 0.8257 0.5514  0.02
Se: 0.7743 0.3257 0.9122  0.02
Se: 0.4135 0.3621 0.5878  0.02
Se: 0.0865 0.1743 0.4486  0.02
Se: 0.2257 0.6743 0.0878  0.02
Se: 0.1743 0.0878 0.7257  0.02
Se: 0.6379 0.0514 0.2257  0.02
Se: 0.8621 0.5878 0.9135  0.02
Se: 0.5514 0.3257 0.9135  0.02
Se: 0.5878 0.8621 0.4135  0.02
Se: 0.9122 0.8257 0.7743  0.02
Se: 0.9122 0.0865 0.6379  0.02
Se: 0.8621 0.2743 0.4486  0.02
Se: 0.1743 0.0865 0.9486  0.02
Se: 0.6379 0.5865 0.9122  0.02
Se: 0.4135 0.0514 0.3257  0.02
Se: 0.2743 0.4122 0.8257  0.02
Se: 0.2257 0.5514 0.6379  0.02
Se: 0.9135 0.0878 0.8621  0.02
Se: 0.6743 0.2257 0.5878  0.02
Se: 0.4486 0.7743 0.8621  0.02
Se: 0.0514 0.4135 0.8257  0.02
Se: 0.4122 0.2743 0.3257  0.02
Se: 0.0514 0.6379 0.7257  0.02
Se: 0.6743 0.4486 0.5865  0.02
Se: 0.2743 0.8621 0.9486  0.02